{
  "formula": "CuAg3",
  "functional": "PBE-GGA",
  "state": "optimized geometry",
  "crystal_system": "triclinic",
  "total_energy_ev_per_atom": -2.979,
  "ef_ev_per_atom": 0.07,
  "lattice": [[4.929, 0.000, 0.000], [0.873, 4.876, 0.000], [0.028, 1.724, 5.472]],
  "species": ["Cu", "Cu", "Ag", "Ag", "Ag", "Ag", "Ag", "Ag"],
  "fractional_positions": [[0.119, 0.252, 0.440], [0.881, 0.748, 0.560], [0.126, 0.260, 0.929], [0.362, 0.751, 0.319], [0.374, 0.760, 0.803], [0.626, 0.240, 0.197], [0.638, 0.249, 0.681], [0.874, 0.740, 0.071]]
}